No. 1
Here is a relaxed BaAgSb crystal from Alexandria via LeMat-Bulk. Energies are from PBE.

Calculated values
Crystal system   triclinic

abc: 10.1779 4.8822 4.8826
angles: 120.00 103.38 90.07
Atoms (fractional coordinates):
Sb (0.8603, 0.2796, 0.2429)
Sb (0.3726, 0.4535, 0.5929)
Ba (0.1346, 0.7094, 0.1058)
Ba (0.6178, 0.8669, 0.4184)
Ag (0.3698, 0.1192, 0.9242)
Ag (0.8122, 0.5966, 0.8768)

***

No. 2
Here is a relaxed BaAgSb crystal from Alexandria via LeMat-Bulk. Energies are from PBE.

Calculated values
Crystal system   hexagonal

abc: 4.8995 4.8995 9.3688
angles: 90.00 90.00 120.00
Atoms (fractional coordinates):
Sb (0.3333, 0.6667, 0.7171)
Sb (0.6667, 0.3333, 0.2171)
Ba (0.0000, 0.0000, 0.9668)
Ba (0.0000, 0.0000, 0.4668)
Ag (0.6667, 0.3333, 0.7164)
Ag (0.3333, 0.6667, 0.2164)

***

No. 3
Here is a relaxed BaAg3Sb crystal from Alexandria via LeMat-Bulk. Energies are from PBE.

Calculated values
Crystal system   cubic

abc: 5.8077 5.8077 5.8077
angles: 90.00 90.00 90.00
Atoms (fractional coordinates):
Sb (0.5000, 0.5000, 0.5000)
Ba (0.0000, 0.0000, 0.0000)
Ag (0.0000, 0.5000, 0.0000)
Ag (0.0000, 0.0000, 0.5000)
Ag (0.5000, 0.0000, 0.0000)

***

No. 4
Here is a relaxed BaAgSb2 crystal from Alexandria via LeMat-Bulk. Energies are from PBE.

Calculated values
Crystal system   tetragonal

abc: 4.9555 4.9573 4.8562
angles: 90.00 90.00 90.00
Atoms (fractional coordinates):
Sb (0.0000, 0.0000, 0.0000)
Sb (0.5000, 0.5000, 0.0000)
Ba (0.0000, 0.5000, 0.5000)
Ag (0.5000, 0.0000, 0.5000)

***

No. 5
Here is a relaxed BaAg12Sb6 crystal from Alexandria via LeMat-Bulk. Energies are from PBE.

Calculated values
Crystal system   trigonal

abc: 7.9238 7.9238 7.9238
angles: 93.92 93.92 93.92
Atoms (fractional coordinates):
Ba (0.0000, 0.0000, 0.0000)
Ag (0.8752, 0.1248, 0.5000)
Ag (0.7960, 0.4966, 0.4966)
Ag (0.4966, 0.4966, 0.7960)
Ag (0.5034, 0.2040, 0.5034)
Ag (0.5034, 0.5034, 0.2040)
Ag (0.2040, 0.5034, 0.5034)
Ag (0.1248, 0.5000, 0.8752)
Ag (0.5000, 0.8752, 0.1248)
Ag (0.1248, 0.8752, 0.5000)
Ag (0.8752, 0.5000, 0.1248)
Ag (0.5000, 0.1248, 0.8752)
Ag (0.4966, 0.7960, 0.4966)
Sb (0.6724, 0.2060, 0.2060)
Sb (0.2060, 0.2060, 0.6724)
Sb (0.2060, 0.6724, 0.2060)
Sb (0.7940, 0.7940, 0.3276)
Sb (0.3276, 0.7940, 0.7940)
Sb (0.7940, 0.3276, 0.7940)

***

No. 6
Here is a relaxed BaAgSb2 crystal from Alexandria via LeMat-Bulk. Energies are from PBE.

Calculated values
Crystal system   monoclinic

abc: 5.4731 5.4731 6.2412
angles: 71.52 71.52 45.81
Atoms (fractional coordinates):
Sb (0.0321, 0.0321, 0.9007)
Sb (0.4679, 0.4679, 0.5993)
Ba (0.2500, 0.2500, 0.2500)
Ag (0.7500, 0.7500, 0.7500)

***

No. 7
Here is a relaxed BaAgSb crystal from Alexandria via LeMat-Bulk. Energies are from PBE.

Calculated values
Crystal system   orthorhombic

abc: 6.7239 4.8038 6.6953
angles: 89.96 89.99 69.08
Atoms (fractional coordinates):
Sb (0.7586, 0.1123, 0.3553)
Sb (0.2972, 0.8426, 0.8553)
Ba (0.2109, 0.3856, 0.2230)
Ba (0.8449, 0.5687, 0.7230)
Ag (0.4415, 0.2706, 0.6844)
Ag (0.6142, 0.6845, 0.1844)

***

No. 8
Here is a relaxed BaAg2Sb crystal from Alexandria via LeMat-Bulk. Energies are from PBE.

Calculated values
Crystal system   tetragonal

abc: 3.7546 3.7546 7.8005
angles: 90.00 90.00 90.00
Atoms (fractional coordinates):
Sb (0.5000, 0.5000, 0.8127)
Ba (0.0000, 0.0000, 0.4918)
Ag (0.0000, 0.0000, 0.0091)
Ag (0.5000, 0.5000, 0.1864)

***

| no. | ΔE_f (raw) (eV per atom) |
| --- | --- |
| 1 | -0.69 |
| 2 | -0.78 |
| 3 | 1.08 |
| 4 | -0.31 |
| 5 | 0.00 |
| 6 | -0.38 |
| 7 | -0.61 |
| 8 | -0.13 |